Compound: ScPtBr2
Source: the Alexandria database
Functional: GGA-PBE
Structure: optimized geometry

Summary:
Raw formation energy: -0.85 eV per atom
ρ: 5.8 g cm⁻³
Relative energy among the computed polymorphs: 0.00 eV/f.u.

a b c (Å): 7.5640 7.5640 4.3278
angles (deg): 90.07 90.07 27.39
Closest atoms and distances in Å follow each position.
Fractional coordinates of all 4 atoms:
Sc 0.0000 0.0000 0.0000  4 Pt 2.81, 4 Br 2.86
Pt 0.5000 0.5000 0.5000  2 Br 2.46
Br 0.3591 0.3591 0.1924  1 Pt 2.46
Br 0.6409 0.6409 0.8076  1 Pt 2.46

***

Compound: ScPtBr2
Source: the Alexandria database
Functional: GGA-PBE
Structure: optimized geometry

Summary:
Raw formation energy: 0.10 eV per atom
ρ: 6.2 g cm⁻³
Relative energy among the computed polymorphs: 3.78 eV/f.u.

a b c (Å): 8.5655 8.5655 8.5655
angles (deg): 26.03 26.03 26.03
Closest atoms and distances in Å follow each position.
Fractional coordinates of all 4 atoms:
Sc 0.0000 0.0000 0.0000  2 Br 2.57
Pt 0.5000 0.5000 0.5000  6 Br 2.72
Br 0.1036 0.1036 0.1036  1 Sc 2.57, 3 Pt 2.72
Br 0.8964 0.8964 0.8964  1 Sc 2.57, 3 Pt 2.72

***

Compound: ScPtBr2
Source: the Alexandria database
Functional: GGA-PBE
Structure: optimized geometry

Summary:
Raw formation energy: -0.27 eV per atom
ρ: 8.2 g cm⁻³
Relative energy among the computed polymorphs: 2.33 eV/f.u.

a b c (Å): 3.3962 3.3962 6.9971
angles (deg): 90.00 90.00 90.00
Closest atoms and distances in Å follow each position.
Fractional coordinates of all 4 atoms:
Sc 0.0000 0.0000 0.0000  8 Br 2.87
Pt 0.0000 0.0000 0.5000  8 Br 3.08, 4 Pt 3.40
Br 0.5000 0.5000 0.2255  4 Sc 2.87, 4 Pt 3.08, 1 Br 3.16
Br 0.5000 0.5000 0.7745  4 Sc 2.87, 4 Pt 3.08, 1 Br 3.16

***

Compound: ScPtBr2
Source: the Alexandria database
Functional: GGA-PBE
Structure: optimized geometry

Summary:
Raw formation energy: -0.28 eV per atom
ρ: 7.0 g cm⁻³
Relative energy among the computed polymorphs: 2.25 eV/f.u.

a b c (Å): 4.6061 4.6061 4.4645
angles (deg): 90.00 90.00 90.76
Closest atoms and distances in Å follow each position.
Fractional coordinates of all 4 atoms:
Sc 0.0000 0.0000 0.0000  4 Br 2.74
Pt 0.5000 0.5000 0.0000  4 Br 2.80
Br 0.2430 0.7570 0.5000  2 Sc 2.74, 2 Pt 2.80
Br 0.7570 0.2430 0.5000  2 Sc 2.74, 2 Pt 2.80

***

Compound: ScPtBr2
Source: the Alexandria database
Functional: GGA-PBE
Structure: optimized geometry

Summary:
Raw formation energy: -0.35 eV per atom
ρ: 7.3 g cm⁻³
Relative energy among the computed polymorphs: 1.99 eV/f.u.

a b c (Å): 9.3072 9.3072 9.3072
angles (deg): 20.99 20.99 20.99
Closest atoms and distances in Å follow each position.
Fractional coordinates of all 4 atoms:
Sc 0.0000 0.0000 0.0000  6 Br 2.66
Pt 0.5000 0.5000 0.5000  6 Br 3.37, 6 Pt 3.39
Br 0.2671 0.2671 0.2671  3 Sc 2.66
Br 0.7329 0.7329 0.7329  3 Sc 2.66

***

Compound: ScPtBr2
Source: the Alexandria database
Functional: GGA-PBE
Structure: optimized geometry

Summary:
Raw formation energy: -0.76 eV per atom
ρ: 4.7 g cm⁻³
Relative energy among the computed polymorphs: 0.34 eV/f.u.

a b c (Å): 8.0138 8.0138 8.0138
angles (deg): 153.79 141.17 47.45
Closest atoms and distances in Å follow each position.
Fractional coordinates of all 4 atoms:
Sc 0.0000 0.0000 0.0000  2 Pt 2.50, 2 Br 2.70
Pt 0.8830 0.3830 0.5000  2 Sc 2.50, 2 Br 2.68
Br 0.1359 0.6359 0.5000  2 Sc 2.70
Br 0.4023 0.4023 0.0000  2 Pt 2.68